a:
A relaxed CrRe2Ir crystal. Source: Alexandria, functional GGA-PBE.

Summary:
Spin magnetization = 0.000 μB/atom
DOS at the Fermi energy = 5.06 states/eV/f.u.
Crystal system = tetragonal
SG = No. 122

a = 9.182 Å, b = 9.182 Å, c = 9.182 Å
α = 156.21°, β = 156.21°, γ = 33.90°
Fractional positions:
Cr 0.000 0.000 0.000
Cr 0.750 0.250 0.500
Re 0.089 0.625 0.964
Re 0.375 0.339 0.464
Re 0.661 0.125 0.036
Re 0.875 0.911 0.536
Ir 0.250 0.750 0.500
Ir 0.500 0.500 0.000

b:
A relaxed CrRe2Ir crystal. Source: Alexandria, functional GGA-PBE.

Summary:
Spin magnetization = 0.063 μB/atom
DOS at the Fermi energy = 4.28 states/eV/f.u.
Crystal system = orthorhombic
SG = No. 25

a = 2.718 Å, b = 3.816 Å, c = 5.469 Å
α = 90.00°, β = 90.00°, γ = 90.00°
Fractional positions:
Cr 0.000 0.000 0.000
Re 0.000 0.000 0.501
Re 0.500 0.500 0.756
Ir 0.500 0.500 0.236

Last place for stability: a

a:
A relaxed CrRe2Ir crystal. Source: Alexandria, functional GGA-PBE.

Summary:
Spin magnetization = 0.128 μB/atom
DOS at the Fermi energy = 3.08 states/eV/f.u.
Crystal system = tetragonal
SG = No. 139

a = 4.732 Å, b = 4.732 Å, c = 4.732 Å
α = 132.44°, β = 132.44°, γ = 69.53°
Fractional positions:
Cr 0.000 0.000 0.000
Re 0.250 0.750 0.500
Re 0.750 0.250 0.500
Ir 0.500 0.500 0.000

b:
A relaxed CrRe2Ir crystal. Source: Alexandria, functional GGA-PBE.

Summary:
Spin magnetization = 0.157 μB/atom
DOS at the Fermi energy = 4.14 states/eV/f.u.
Crystal system = monoclinic
SG = No. 12

a = 4.715 Å, b = 4.715 Å, c = 4.703 Å
α = 99.36°, β = 99.36°, γ = 33.53°
Fractional positions:
Cr 0.000 0.000 0.000
Re 0.249 0.249 0.753
Re 0.751 0.751 0.247
Ir 0.500 0.500 0.500

c:
A relaxed CrRe2Ir crystal. Source: Alexandria, functional GGA-PBE.

Summary:
Spin magnetization = 0.001 μB/atom
DOS at the Fermi energy = 3.11 states/eV/f.u.
Crystal system = orthorhombic
SG = No. 65

a = 4.717 Å, b = 4.717 Å, c = 2.705 Å
α = 90.00°, β = 90.00°, γ = 109.77°
Fractional positions:
Cr 0.000 0.000 0.000
Re 0.000 0.500 0.500
Re 0.500 0.000 0.500
Ir 0.500 0.500 0.000

d:
A relaxed CrRe2Ir crystal. Source: Alexandria, functional GGA-PBE.

Summary:
Spin magnetization = 0.000 μB/atom
DOS at the Fermi energy = 3.55 states/eV/f.u.
Crystal system = tetragonal
SG = No. 123

a = 2.714 Å, b = 2.714 Å, c = 7.656 Å
α = 90.00°, β = 90.00°, γ = 90.00°
Fractional positions:
Cr 0.000 0.000 0.000
Re 0.500 0.500 0.238
Re 0.500 0.500 0.762
Ir 0.000 0.000 0.500

Last place for stability: d

a:
A relaxed CrRe2Ir crystal. Source: Alexandria, functional GGA-PBE.

Summary:
Spin magnetization = 0.001 μB/atom
DOS at the Fermi energy = 4.26 states/eV/f.u.
Crystal system = orthorhombic
SG = No. 22

a = 4.708 Å, b = 4.703 Å, c = 3.836 Å
α = 66.01°, β = 65.88°, γ = 48.11°
Fractional positions:
Cr 0.000 0.000 0.000
Re 0.500 0.500 0.500
Re 0.750 0.750 0.750
Ir 0.250 0.250 0.250

b:
A relaxed CrRe2Ir crystal. Source: Alexandria, functional GGA-PBE.

Summary:
Spin magnetization = 0.000 μB/atom
DOS at the Fermi energy = 3.97 states/eV/f.u.
Crystal system = monoclinic
SG = No. 8

a = 4.689 Å, b = 4.689 Å, c = 4.730 Å
α = 99.62°, β = 99.62°, γ = 33.61°
Fractional positions:
Cr 0.000 0.000 0.000
Re 0.502 0.502 0.505
Re 0.748 0.748 0.247
Ir 0.253 0.253 0.762

c:
A relaxed CrRe2Ir crystal. Source: Alexandria, functional GGA-PBE.

Summary:
Spin magnetization = 0.002 μB/atom
DOS at the Fermi energy = 4.23 states/eV/f.u.
Crystal system = monoclinic
SG = No. 10

a = 4.708 Å, b = 2.712 Å, c = 4.722 Å
α = 90.00°, β = 109.61°, γ = 90.00°
Fractional positions:
Cr 0.000 0.000 0.000
Re 0.000 0.500 0.500
Re 0.500 0.000 0.500
Ir 0.500 0.500 0.000

d:
A relaxed CrRe2Ir crystal. Source: Alexandria, functional GGA-PBE.

Summary:
Spin magnetization = 0.011 μB/atom
DOS at the Fermi energy = 4.18 states/eV/f.u.
Crystal system = orthorhombic
SG = No. 47

a = 2.717 Å, b = 3.799 Å, c = 5.491 Å
α = 90.00°, β = 90.00°, γ = 90.00°
Fractional positions:
Cr 0.000 0.000 0.000
Re 0.500 0.500 0.232
Re 0.500 0.500 0.768
Ir 0.000 0.000 0.500

Last place for stability: d

a:
A relaxed CrRe2Ir crystal. Source: Alexandria, functional GGA-PBE.

Summary:
Spin magnetization = 0.000 μB/atom
DOS at the Fermi energy = 3.18 states/eV/f.u.
Crystal system = tetragonal
SG = No. 99

a = 2.727 Å, b = 2.727 Å, c = 7.604 Å
α = 90.00°, β = 90.00°, γ = 90.00°
Fractional positions:
Cr 0.000 0.000 0.000
Re 0.000 0.000 0.500
Re 0.500 0.500 0.759
Ir 0.500 0.500 0.236

b:
A relaxed CrRe2Ir crystal. Source: Alexandria, functional GGA-PBE.

Summary:
Spin magnetization = 0.050 μB/atom
DOS at the Fermi energy = 4.13 states/eV/f.u.
Crystal system = tetragonal
SG = No. 123

a = 3.829 Å, b = 3.829 Å, c = 3.858 Å
α = 90.00°, β = 90.00°, γ = 90.00°
Fractional positions:
Cr 0.000 0.000 0.000
Re 0.000 0.500 0.500
Re 0.500 0.000 0.500
Ir 0.500 0.500 0.000

c:
A relaxed CrRe2Ir crystal. Source: Alexandria, functional GGA-PBE.

Summary:
Spin magnetization = 0.049 μB/atom
DOS at the Fermi energy = 6.92 states/eV/f.u.
Crystal system = cubic
SG = No. 225

a = 4.330 Å, b = 4.330 Å, c = 4.330 Å
α = 60.00°, β = 60.00°, γ = 60.00°
Fractional positions:
Cr 0.000 0.000 0.000
Re 0.250 0.250 0.250
Re 0.750 0.750 0.750
Ir 0.500 0.500 0.500

d:
A relaxed CrRe2Ir crystal. Source: Alexandria, functional GGA-PBE.

Summary:
Spin magnetization = 0.000 μB/atom
DOS at the Fermi energy = 3.68 states/eV/f.u.
Crystal system = orthorhombic
SG = No. 38

a = 4.171 Å, b = 5.208 Å, c = 5.208 Å
α = 30.19°, β = 90.00°, γ = 90.00°
Fractional positions:
Cr 0.000 0.000 0.000
Re 0.000 0.256 0.256
Re 0.500 0.874 0.874
Ir 0.500 0.607 0.607

Last place for stability: c

a:
A relaxed CrRe2Ir crystal. Source: Alexandria, functional GGA-PBE.

Summary:
Spin magnetization = 0.004 μB/atom
DOS at the Fermi energy = 6.49 states/eV/f.u.
Crystal system = trigonal
SG = No. 166

a = 8.958 Å, b = 8.958 Å, c = 8.958 Å
α = 17.54°, β = 17.54°, γ = 17.54°
Fractional positions:
Cr 0.000 0.000 0.000
Re 0.253 0.253 0.253
Re 0.747 0.747 0.747
Ir 0.500 0.500 0.500

b:
A relaxed CrRe2Ir crystal. Source: Alexandria, functional GGA-PBE.

Summary:
Spin magnetization = 0.000 μB/atom
DOS at the Fermi energy = 3.56 states/eV/f.u.
Crystal system = trigonal
SG = No. 160

a = 8.941 Å, b = 8.941 Å, c = 8.941 Å
α = 17.59°, β = 17.59°, γ = 17.59°
Fractional positions:
Cr 0.000 0.000 0.000
Re 0.251 0.251 0.251
Re 0.499 0.499 0.499
Ir 0.744 0.744 0.744

c:
A relaxed CrRe2Ir crystal. Source: Alexandria, functional GGA-PBE.

Summary:
Spin magnetization = 0.801 μB/atom
DOS at the Fermi energy = 3.50 states/eV/f.u.
Crystal system = cubic
SG = No. 216

a = 4.355 Å, b = 4.355 Å, c = 4.355 Å
α = 60.00°, β = 60.00°, γ = 60.00°
Fractional positions:
Cr 0.000 0.000 0.000
Re 0.500 0.500 0.500
Re 0.750 0.750 0.750
Ir 0.250 0.250 0.250

Last place for stability: c

a:
A relaxed CrReIr4 crystal. Source: Alexandria, functional GGA-PBE.

Summary:
Spin magnetization = 0.120 μB/atom
DOS at the Fermi energy = 5.35 states/eV/f.u.
Crystal system = trigonal
SG = No. 166

a = 7.106 Å, b = 7.106 Å, c = 7.106 Å
α = 33.78°, β = 33.78°, γ = 33.78°
Fractional positions:
Cr 0.000 0.000 0.000
Re 0.500 0.500 0.500
Ir 0.123 0.123 0.123
Ir 0.372 0.372 0.372
Ir 0.628 0.628 0.628
Ir 0.877 0.877 0.877

b:
A relaxed CrReIr4 crystal. Source: Alexandria, functional GGA-PBE.

Summary:
Spin magnetization = 0.515 μB/atom
DOS at the Fermi energy = 8.67 states/eV/f.u.
Crystal system = cubic
SG = No. 216

a = 5.103 Å, b = 5.103 Å, c = 5.103 Å
α = 60.00°, β = 60.00°, γ = 60.00°
Fractional positions:
Cr 0.000 0.000 0.000
Re 0.750 0.750 0.750
Ir 0.375 0.375 0.375
Ir 0.375 0.375 0.875
Ir 0.375 0.875 0.375
Ir 0.875 0.375 0.375

Last place for stability: b

a:
A relaxed Cr2IrRh2 crystal. Source: Alexandria, functional GGA-PBE.

Summary:
Spin magnetization = 0.000 μB/atom
DOS at the Fermi energy = 5.60 states/eV/f.u.
Crystal system = tetragonal
SG = No. 139

a = 5.920 Å, b = 5.920 Å, c = 5.920 Å
α = 143.93°, β = 143.93°, γ = 51.93°
Fractional positions:
Cr 0.095 0.095 0.000
Cr 0.905 0.905 0.000
Ir 0.500 0.500 0.000
Rh 0.250 0.750 0.500
Rh 0.750 0.250 0.500

b:
A relaxed Cr2IrRh2 crystal. Source: Alexandria, functional GGA-PBE.

Summary:
Spin magnetization = 0.000 μB/atom
DOS at the Fermi energy = 6.50 states/eV/f.u.
Crystal system = tetragonal
SG = No. 127

a = 7.053 Å, b = 7.053 Å, c = 2.725 Å
α = 90.00°, β = 90.00°, γ = 90.00°
Fractional positions:
Cr 0.114 0.386 0.000
Cr 0.386 0.886 0.000
Cr 0.614 0.114 0.000
Cr 0.886 0.614 0.000
Ir 0.000 0.000 0.000
Ir 0.500 0.500 0.000
Rh 0.179 0.679 0.500
Rh 0.321 0.179 0.500
Rh 0.679 0.821 0.500
Rh 0.821 0.321 0.500

Last place for stability: a

a:
A relaxed Cr2IrRh2 crystal. Source: Alexandria, functional GGA-PBE.

Summary:
Spin magnetization = 0.000 μB/atom
DOS at the Fermi energy = 5.48 states/eV/f.u.
Crystal system = tetragonal
SG = No. 127

a = 7.090 Å, b = 7.090 Å, c = 2.711 Å
α = 90.00°, β = 90.00°, γ = 90.00°
Fractional positions:
Cr 0.171 0.329 0.000
Cr 0.329 0.829 0.000
Cr 0.671 0.171 0.000
Cr 0.829 0.671 0.000
Ir 0.000 0.000 0.500
Ir 0.500 0.500 0.500
Rh 0.128 0.628 0.500
Rh 0.372 0.128 0.500
Rh 0.628 0.872 0.500
Rh 0.872 0.372 0.500

b:
A relaxed Cr2IrRh2 crystal. Source: Alexandria, functional GGA-PBE.

Summary:
Spin magnetization = 0.000 μB/atom
DOS at the Fermi energy = 6.32 states/eV/f.u.
Crystal system = orthorhombic
SG = No. 74

a = 6.952 Å, b = 6.952 Å, c = 6.952 Å
α = 144.56°, β = 134.60°, γ = 58.88°
Fractional positions:
Cr 0.198 0.191 0.007
Cr 0.317 0.809 0.507
Cr 0.683 0.191 0.493
Cr 0.802 0.809 0.993
Ir 0.381 0.631 0.750
Ir 0.619 0.369 0.250
Rh 0.119 0.369 0.750
Rh 0.250 0.000 0.250
Rh 0.750 0.000 0.750
Rh 0.881 0.631 0.250

Last place for stability: a

a:
A relaxed Cr2Ir4Rh5 crystal. Source: Alexandria, functional GGA-PBE.

Summary:
Spin magnetization = 0.000 μB/atom
DOS at the Fermi energy = 12.27 states/eV/f.u.
Crystal system = monoclinic
SG = No. 10

a = 6.768 Å, b = 2.698 Å, c = 8.545 Å
α = 90.00°, β = 94.32°, γ = 90.00°
Fractional positions:
Cr 0.065 0.000 0.129
Cr 0.935 0.000 0.871
Ir 0.186 0.500 0.376
Ir 0.258 0.500 0.931
Ir 0.742 0.500 0.069
Ir 0.814 0.500 0.624
Rh 0.164 0.000 0.655
Rh 0.431 0.000 0.187
Rh 0.500 0.000 0.500
Rh 0.569 0.000 0.813
Rh 0.836 0.000 0.345

b:
A relaxed Cr2Ir4Rh5 crystal. Source: Alexandria, functional GGA-PBE.

Summary:
Spin magnetization = 0.000 μB/atom
DOS at the Fermi energy = 14.66 states/eV/f.u.
Crystal system = monoclinic
SG = No. 12

a = 10.172 Å, b = 10.172 Å, c = 5.990 Å
α = 93.82°, β = 93.82°, γ = 15.34°
Fractional positions:
Cr 0.231 0.231 0.344
Cr 0.769 0.769 0.656
Ir 0.041 0.041 0.659
Ir 0.353 0.353 0.448
Ir 0.647 0.647 0.552
Ir 0.959 0.959 0.341
Rh 0.101 0.101 0.193
Rh 0.196 0.196 0.917
Rh 0.500 0.500 0.000
Rh 0.804 0.804 0.083
Rh 0.899 0.899 0.807

Last place for stability: b

a:
A relaxed CrIrRh3 crystal. Source: Alexandria, functional GGA-PBE.

Summary:
Spin magnetization = 0.273 μB/atom
DOS at the Fermi energy = 6.36 states/eV/f.u.
Crystal system = orthorhombic
SG = No. 62

a = 7.031 Å, b = 8.944 Å, c = 4.659 Å
α = 90.00°, β = 90.00°, γ = 90.00°
Fractional positions:
Cr 0.000 0.000 0.000
Cr 0.000 0.500 0.000
Cr 0.500 0.000 0.500
Cr 0.500 0.500 0.500
Ir 0.174 0.250 0.389
Ir 0.326 0.750 0.889
Ir 0.674 0.250 0.111
Ir 0.826 0.750 0.611
Rh 0.023 0.250 0.872
Rh 0.160 0.571 0.502
Rh 0.160 0.929 0.502
Rh 0.340 0.071 0.002
Rh 0.340 0.429 0.002
Rh 0.477 0.750 0.372
Rh 0.523 0.250 0.628
Rh 0.660 0.571 0.998
Rh 0.660 0.929 0.998
Rh 0.840 0.071 0.498
Rh 0.840 0.429 0.498
Rh 0.977 0.750 0.128

b:
A relaxed CrIrRh3 crystal. Source: Alexandria, functional GGA-PBE.

Summary:
Spin magnetization = 0.000 μB/atom
DOS at the Fermi energy = 8.35 states/eV/f.u.
Crystal system = cubic
SG = No. 221

a = 4.373 Å, b = 4.373 Å, c = 4.373 Å
α = 90.00°, β = 90.00°, γ = 90.00°
Fractional positions:
Cr 0.000 0.000 0.000
Ir 0.500 0.500 0.500
Rh 0.000 0.000 0.500
Rh 0.000 0.500 0.000
Rh 0.500 0.000 0.000

Last place for stability: b